(1)
DFT (GGA-PBE) results for a relaxed PrMgAl2Au4 crystal.

Raw total energy (eV per cell): -31.79
Magnetization (μB/f.u.): 0.00
Energy of formation (eV per atom): -0.6028
Space-group type: R-3m, No. 166
DOS(E_F) (states/eV/cell): 4.1

Cell: 9.3615 9.3615 9.3615 Å, 27.82 27.82 27.82°
Fractional coordinates of all 8 atoms:
Pr1 0.0000 0.0000 0.0000
Mg1 0.5000 0.5000 0.5000
Al1 0.2402 0.2402 0.2402
Al2 0.7598 0.7598 0.7598
Au1 0.1322 0.1322 0.1322
Au2 0.3978 0.3978 0.3978
Au3 0.6022 0.6022 0.6022
Au4 0.8678 0.8678 0.8678

---

(2)
DFT (GGA-PBE) results for a relaxed PrMgAlAu2 crystal.

Raw total energy (eV per cell): -19.99
Magnetization (μB/f.u.): 0.00
Energy of formation (eV per atom): -0.6632
Space-group type: I-4m2, No. 119
DOS(E_F) (states/eV/cell): 3.1

Cell: 6.7599 6.7599 6.7599 Å, 143.27 143.27 52.93°
Fractional coordinates of all 5 atoms:
Pr1 0.0000 0.0000 0.0000
Mg1 0.2500 0.7500 0.5000
Al1 0.7500 0.2500 0.5000
Au1 0.3840 0.3840 0.0000
Au2 0.6160 0.6160 0.0000

---

(3)
DFT (GGA-PBE) results for a relaxed PrMg2AlAu2 crystal.

Raw total energy (eV per cell): -20.13
Magnetization (μB/f.u.): 0.00
Energy of formation (eV per atom): -0.3106
Space-group type: I4/mmm, No. 139
DOS(E_F) (states/eV/cell): 2.9

Cell: 6.6902 6.6902 6.6902 Å, 134.21 134.21 66.76°
Fractional coordinates of all 6 atoms:
Pr1 0.0000 0.0000 0.0000
Mg1 0.2500 0.7500 0.5000
Mg2 0.7500 0.2500 0.5000
Al1 0.5000 0.5000 0.0000
Au1 0.2820 0.2820 0.0000
Au2 0.7180 0.7180 0.0000

---

(4)
DFT (GGA-PBE) results for a relaxed PrMgAl2Au5 crystal.

Raw total energy (eV per cell): -34.15
Magnetization (μB/f.u.): 0.00
Energy of formation (eV per atom): -0.4335
Space-group type: P4/mmm, No. 123
DOS(E_F) (states/eV/cell): 4.0

Cell: 4.8694 4.8694 7.9474 Å, 90.00 90.00 90.00°
Fractional coordinates of all 9 atoms:
Pr1 0.0000 0.0000 0.0000
Mg1 0.0000 0.0000 0.5000
Al1 0.5000 0.5000 0.3393
Al2 0.5000 0.5000 0.6607
Au1 0.0000 0.5000 0.2502
Au2 0.0000 0.5000 0.7498
Au3 0.5000 0.0000 0.2502
Au4 0.5000 0.0000 0.7498
Au5 0.5000 0.5000 0.0000